(1)
Material: TmHfNb
Method: DFT, GGA-PBE
State: optimized geometry

## Properties
Offset from the most stable computed form = 0.066 eV per atom
Calculated formation energy = 0.218 eV per atom
M_tot = 0.0 μB/f.u.
Space-group type = R-3m, No. 166

Cell: 3.2798 3.2798 15.1932 Å, 83.80 83.80 60.00°
Closest atoms and distances in Å follow each position.
Element x y z (fractional)
Nb: 0.8115 0.8115 0.5656  3 Nb 2.74, 3 Hf 2.98
Hf: 0.9060 0.9060 0.2821  3 Nb 2.98, 6 Hf 3.28, 3 Tm 3.31
Nb: 0.1885 0.1885 0.4344  3 Nb 2.74, 3 Hf 2.98
Tm: 0.6325 0.6325 0.1024  9 Tm 3.28-3.62, 3 Hf 3.31
Hf: 0.0940 0.0940 0.7179  3 Nb 2.98, 6 Hf 3.28, 3 Tm 3.31
Tm: 0.3675 0.3675 0.8976  9 Tm 3.28-3.62, 3 Hf 3.31

(2)
Material: PrDy2Hf
Method: DFT, GGA-PBE
State: optimized geometry

## Properties
Offset from the most stable computed form = 0.105 eV per atom
Calculated formation energy = 0.227 eV per atom
M_tot = 0.0 μB/f.u.
Space-group type = P4/mmm, No. 123

Cell: 3.9861 3.9861 7.5819 Å, 90.00 90.00 90.00°
Closest atoms and distances in Å follow each position.
Element x y z (fractional)
Pr: 0.5000 0.5000 0.5000  8 Dy 3.56, 2 Hf 3.79, 4 Pr 3.99
Dy: 0.0000 0.0000 0.7868  1 Dy 3.23, 4 Hf 3.25, 4 Pr 3.56
Dy: 0.0000 0.0000 0.2132  1 Dy 3.23, 4 Hf 3.25, 4 Pr 3.56
Hf: 0.5000 0.5000 0.0000  8 Dy 3.25

Q: What is the formula in the second record?
A: PrDy2Hf

Q: Which value of M_tot does entry 2 give?
A: 0.0 μB/f.u.